(1)
A plane-wave DFT calculation with GGA+U was carried out for an optimized crystal structure of Pr2BeVO6.

```
Pr2BeVO6
1.0
5.453 0.000 0.000
0.000 5.392 0.000
-5.380 0.000 7.478
Pr Be V O
4 2 2 12
direct
0.242 0.002 0.248
0.242 0.498 0.748
0.758 0.502 0.252
0.758 0.998 0.752
0.000 0.000 0.500
0.000 0.500 0.000
0.500 0.000 0.000
0.500 0.500 0.500
0.207 0.246 0.467
0.207 0.254 0.967
0.211 0.742 0.967
0.211 0.758 0.467
0.310 0.001 0.750
0.310 0.499 0.250
0.690 0.501 0.750
0.690 0.999 0.250
0.789 0.242 0.533
0.789 0.258 0.033
0.793 0.746 0.033
0.793 0.754 0.533
```

Output
Total moment ... 0.10 μB/atom
Energy ... -7.7946 eV/atom

=====

(2)
A plane-wave DFT calculation with GGA+U was carried out for an optimized crystal structure of PrBeV2O7.

```
PrBeV2O7
1.0
-1.903 1.903 8.050
1.903 -1.903 8.050
1.903 1.903 -8.050
Pr Be V O
1 1 2 7
direct
0.000 0.000 0.000
0.750 0.250 0.500
0.371 0.371 0.000
0.629 0.629 0.000
0.100 0.600 0.500
0.263 0.263 0.000
0.400 0.900 0.500
0.500 0.500 0.000
0.630 0.130 0.500
0.737 0.737 0.000
0.870 0.370 0.500
```

Output
Total moment ... 0.09 μB/atom
Energy ... -7.4989 eV/atom